Record 1
A plane-wave DFT calculation with PBE-GGA was carried out for crystalline YSe3 at its relaxed geometry.

abc: 4.4682 4.4682 4.4682
angles: 90.00 90.00 90.00
Last column: nearest neighbours and their distance in Å.
Space group Pm-3m (No. 221)
Inequivalent atoms, fractional coordinates:
Y 0.0000 0.0000 0.0000 (multiplicity 1)  12 Se 3.16
Se 0.0000 0.5000 0.5000 (multiplicity 3)  8 Se 3.16, 4 Y 3.16

Results
formation energy (no corrections): -0.64 eV per atom

=====

Record 2
A plane-wave DFT calculation with PBE-GGA was carried out for crystalline MgReSi2 at its relaxed geometry.

abc: 3.3535 4.4715 8.1924
angles: 90.00 90.00 90.00
Last column: nearest neighbours and their distance in Å.
Space group Cmm2 (No. 35)
Inequivalent atoms, fractional coordinates:
Mg 0.0000 0.0000 0.0000 (multiplicity 2)  2 Re 2.78, 4 Mg 2.79, 2 Si 2.81
Re 0.0000 0.5000 0.7293 (multiplicity 2)  2 Si 2.48
Si 0.0000 0.0000 0.5061 (multiplicity 2)  2 Re 2.48, 2 Si 2.53
Si 0.0000 0.5000 0.2746 (multiplicity 2)  6 Si 2.53-2.79, 2 Mg 2.81

Results
formation energy (no corrections): 0.32 eV per atom

=====

Record 3
A plane-wave DFT calculation with PBE-GGA was carried out for crystalline AsS4F at its relaxed geometry.

abc: 5.0521 5.4024 5.8504
angles: 69.77 72.59 85.02
Last column: nearest neighbours and their distance in Å.
Space group P1 (No. 1)
Inequivalent atoms, fractional coordinates:
As 0.0000 0.0000 0.0000 (multiplicity 1)  1 F 1.80
S 0.3297 0.7884 0.2928 (multiplicity 1)  1 S 2.02
S 0.5322 0.9613 0.6992 (multiplicity 1)  2 S 2.03-2.21
S 0.5350 0.0909 0.2966 (multiplicity 1)  2 S 2.02-2.21
S 0.7523 0.2639 0.6907 (multiplicity 1)  1 S 2.03
F 0.1169 0.3171 0.9706 (multiplicity 1)  1 As 1.80

Results
formation energy (no corrections): -0.32 eV per atom

=====

Record 4
A plane-wave DFT calculation with PBE-GGA was carried out for crystalline PbS6Cl2 at its relaxed geometry.

abc: 4.3547 8.0914 8.1069
angles: 105.92 91.18 91.23
Last column: nearest neighbours and their distance in Å.
Space group P-1 (No. 2)
Inequivalent atoms, fractional coordinates:
Pb 0.0000 0.0000 0.0000 (multiplicity 1)  4 Cl 2.88, 2 S 3.16
S 0.0834 0.2749 0.5294 (multiplicity 2)  2 S 2.06-2.09
S 0.0843 0.5300 0.2756 (multiplicity 2)  2 S 2.06-2.09
S 0.1443 0.6847 0.6848 (multiplicity 2)  2 S 2.09
Cl 0.5002 0.1466 0.8540 (multiplicity 2)  2 Pb 2.88

Results
formation energy (no corrections): -0.29 eV per atom

=====

Record 5
A plane-wave DFT calculation with PBE-GGA was carried out for crystalline BaCrH3 at its relaxed geometry.

abc: 3.9072 3.9072 3.9072
angles: 90.00 90.00 90.00
Last column: nearest neighbours and their distance in Å.
Space group Pm-3m (No. 221)
Inequivalent atoms, fractional coordinates:
Ba 0.0000 0.0000 0.0000 (multiplicity 1)  12 H 2.76
Cr 0.5000 0.5000 0.5000 (multiplicity 1)  6 H 1.95
H 0.0000 0.5000 0.5000 (multiplicity 3)  2 Cr 1.95

Results
excess energy over the best structure of this formula in the dataset: 0 meV/atom

=====

Record 6
A plane-wave DFT calculation with PBE-GGA was carried out for crystalline CdNiBr2 at its relaxed geometry.

abc: 3.4081 4.8875 13.5976
angles: 90.00 90.00 90.00
Last column: nearest neighbours and their distance in Å.
Space group Immm (No. 71)
Inequivalent atoms, fractional coordinates:
Cd 0.0000 0.0000 0.0000 (multiplicity 2)  4 Ni 2.98, 4 Br 3.05
Ni 0.0000 0.0000 0.5000 (multiplicity 2)  4 Br 2.50
Br 0.0000 0.5000 0.1347 (multiplicity 4)  2 Ni 2.50

Results
excess energy over the best structure of this formula in the dataset: 98 meV/atom
formation energy (no corrections): -0.14 eV per atom